[1]
# Pr2Sb3Pd9

A relaxed Pr2Sb3Pd9 crystal (PBE-GGA, OQMD via LeMat-Bulk).

Lattice parameters (Å, degrees): 8.035 8.035 9.405 90.00 90.00 60.54
Sites, in units of the cell vectors:
1 Pd 0.356 0.644 0.750
2 Pd 0.500 0.842 0.914
3 Pd 0.500 0.842 0.586
4 Pd 0.644 0.356 0.250
5 Pd 0.168 0.832 0.034
6 Pd 0.158 0.500 0.586
7 Pd 0.859 0.944 0.250
8 Pd 0.168 0.832 0.466
9 Pd 0.842 0.500 0.414
10 Pd 0.056 0.141 0.250
11 Pd 0.842 0.500 0.086
12 Pd 0.944 0.859 0.750
13 Pd 0.832 0.168 0.534
14 Pd 0.500 0.158 0.086
15 Pd 0.832 0.168 0.966
16 Pd 0.500 0.158 0.414
17 Pd 0.141 0.056 0.750
18 Pd 0.158 0.500 0.914
19 Sb 0.823 0.823 0.000
20 Sb 0.177 0.177 0.000
21 Sb 0.500 0.500 0.500
22 Sb 0.500 0.500 0.000
23 Sb 0.823 0.823 0.500
24 Sb 0.177 0.177 0.500
25 Pr 0.517 0.175 0.750
26 Pr 0.483 0.825 0.250
27 Pr 0.175 0.517 0.250
28 Pr 0.825 0.483 0.750

Results
total moment = 0.0 μB/cell
electronic total energy = -5.613 eV/atom
calculated volume = 264.4 Å³/f.u.

[2]
# Pr3Sb5Pd6

A relaxed Pr3Sb5Pd6 crystal (PBE-GGA, OQMD via LeMat-Bulk).

Lattice parameters (Å, degrees): 13.537 4.485 10.135 90.00 90.00 90.00
Sites, in units of the cell vectors:
1 Sb 0.413 0.750 0.862
2 Sb 0.876 0.750 0.524
3 Sb 0.750 0.750 0.828
4 Sb 0.087 0.750 0.862
5 Sb 0.376 0.250 0.476
6 Sb 0.587 0.250 0.138
7 Sb 0.124 0.250 0.476
8 Sb 0.624 0.750 0.524
9 Sb 0.913 0.250 0.138
10 Sb 0.250 0.250 0.172
11 Pr 0.750 0.750 0.243
12 Pr 0.074 0.750 0.245
13 Pr 0.250 0.250 0.757
14 Pr 0.426 0.750 0.245
15 Pr 0.574 0.250 0.755
16 Pr 0.926 0.250 0.755
17 Pd 0.250 0.750 0.018
18 Pd 0.590 0.750 0.991
19 Pd 0.750 0.250 0.525
20 Pd 0.410 0.250 0.009
21 Pd 0.910 0.750 0.991
22 Pd 0.567 0.250 0.397
23 Pd 0.067 0.750 0.603
24 Pd 0.750 0.250 0.982
25 Pd 0.933 0.250 0.397
26 Pd 0.433 0.750 0.603
27 Pd 0.250 0.750 0.475
28 Pd 0.090 0.250 0.009

Results
total moment = 0.0 μB/cell
electronic total energy = -5.608 eV/atom
calculated volume = 307.6 Å³/f.u.